KGeCl3: relaxed, GGA-PBE.

Summary:
Raw formation energy   -1.28 eV/atom
DFT total energy   -0.1298 Ha/atom
Magnetization   0.000 μB/atom
Fermi-level density of states   0.0 states/eV per cell

```
KGeCl3
1.0
1.8889 1.2698 7.7358
7.3634 -1.4218 2.9636
4.9541 5.9134 2.3479
K Cl Ge
2 6 2
direct
0.5810 0.5810 0.5810 K
0.0810 0.0810 0.0810 K
0.4662 0.6774 0.9837 Cl
0.4837 0.1774 0.9662 Cl
0.9662 0.4837 0.1774 Cl
0.9837 0.4662 0.6774 Cl
0.1774 0.9662 0.4837 Cl
0.6774 0.9837 0.4662 Cl
0.7734 0.7734 0.7734 Ge
0.2734 0.2734 0.2734 Ge
```